## CdAg3Pd3 (PBE-GGA)

Data for CdAg3Pd3 after structural relaxation.

total magnetic moment: 0.00 μB/f.u.
DFT formation energy: -90 meV/atom
energy above the lowest structure with this stoichiometry: 55 meV per atom
D(E_F): 3.87 states/eV/f.u.

The structure in POSCAR format:
```
CdAg3Pd3
1.0
7.587 0.000 0.000
-3.793 6.570 0.000
0.000 0.000 4.765
Cd Ag Pd
2 6 6
direct
0.333 0.667 0.250
0.667 0.333 0.750
0.093 0.626 0.750
0.374 0.467 0.750
0.467 0.093 0.250
0.533 0.907 0.750
0.626 0.533 0.250
0.907 0.374 0.250
0.045 0.811 0.250
0.189 0.234 0.250
0.234 0.045 0.750
0.766 0.955 0.250
0.811 0.766 0.750
0.955 0.189 0.750
```

=====

## FeW2I2 (PBE-GGA)

Data for FeW2I2 after structural relaxation.

total magnetic moment: 0.05 μB/f.u.
formation energy (no corrections): 1579.9 meV per atom
energy above the lowest structure with this stoichiometry: 122 meV per atom
D(E_F): 7.73 states/eV/f.u.

The structure in POSCAR format:
```
FeW2I2
1.0
-1.801 1.801 8.441
1.801 -1.801 8.441
1.801 1.801 -8.441
Fe W I
1 2 2
direct
0.000 0.000 0.000
0.250 0.750 0.500
0.750 0.250 0.500
0.399 0.399 0.000
0.601 0.601 0.000
```

=====

## Rb2NpCdF6 (PBE-GGA)

Data for Rb2NpCdF6 after structural relaxation.

total magnetic moment: 3.00 μB/f.u.
formation energy (no corrections): -2774.0 meV per atom
D(E_F): 12.08 states/eV/f.u.

The structure in POSCAR format:
```
Rb2NpCdF6
1.0
6.982 0.000 0.000
0.000 9.474 0.000
0.000 0.000 8.186
Rb Np Cd F
4 2 2 12
direct
0.250 0.018 0.247
0.250 0.482 0.247
0.750 0.518 0.753
0.750 0.982 0.753
0.250 0.750 0.895
0.750 0.250 0.105
0.250 0.250 0.673
0.750 0.750 0.327
0.009 0.750 0.723
0.051 0.750 0.099
0.250 0.523 0.901
0.250 0.977 0.901
0.449 0.750 0.099
0.491 0.750 0.723
0.509 0.250 0.277
0.551 0.250 0.901
0.750 0.023 0.099
0.750 0.477 0.099
0.949 0.250 0.901
0.991 0.250 0.277
```

=====

## PmNbC (PBE-GGA)

Data for PmNbC after structural relaxation.

total magnetic moment: 0.00 μB/f.u.
DFT formation energy: -76 meV/atom
D(E_F): 2.31 states/eV/f.u.

The structure in POSCAR format:
```
PmNbC
1.0
6.051 0.000 0.000
0.000 5.508 0.000
-0.370 0.000 6.559
Pm Nb C
4 4 4
direct
0.111 0.215 0.402
0.111 0.285 0.902
0.889 0.715 0.098
0.889 0.785 0.598
0.419 0.680 0.338
0.419 0.820 0.838
0.581 0.180 0.162
0.581 0.320 0.662
0.283 0.554 0.623
0.283 0.946 0.123
0.717 0.054 0.877
0.717 0.446 0.377
```

=====

## PmZnRhO4 (PBE-GGA)

Data for PmZnRhO4 after structural relaxation.

total magnetic moment: 0.00 μB/f.u.
formation energy (no corrections): -1753.9 meV per atom

The structure in POSCAR format:
```
PmZnRhO4
1.0
-3.288 3.730 3.986
3.288 -3.730 3.986
3.288 3.730 -3.986
Pm Zn Rh O
2 2 2 8
direct
0.000 0.000 0.000
0.500 0.000 0.500
0.293 0.543 0.750
0.707 0.457 0.250
0.000 0.000 0.500
0.000 0.500 0.000
0.136 0.711 0.425
0.214 0.289 0.925
0.265 0.234 0.469
0.265 0.796 0.031
0.735 0.204 0.969
0.735 0.766 0.531
0.786 0.711 0.075
0.864 0.289 0.575
```

=====

## Y3InW (PBE-GGA)

Data for Y3InW after structural relaxation.

total magnetic moment: 4.12 μB/f.u.
DFT formation energy: 1320 meV/atom
energy above the lowest structure with this stoichiometry: 836 meV per atom
D(E_F): 7.97 states/eV/f.u.

The structure in POSCAR format:
```
Y3InW
1.0
5.595 0.000 0.000
0.000 5.595 0.000
0.000 0.000 5.595
Y In W
3 1 1
direct
0.000 0.000 0.500
0.000 0.500 0.000
0.500 0.000 0.000
0.000 0.000 0.000
0.500 0.500 0.500
```

=====

## Li6IrF12 (PBE-GGA)

Data for Li6IrF12 after structural relaxation.

total magnetic moment: 3.20 μB/f.u.
formation energy (no corrections): -2320.7 meV per atom

The structure in POSCAR format:
```
Li6IrF12
1.0
4.500 2.598 2.998
-4.500 2.598 2.998
0.000 -5.196 2.998
Li Ir F
6 1 12
direct
0.168 0.397 0.611
0.389 0.832 0.603
0.397 0.611 0.168
0.603 0.389 0.832
0.611 0.168 0.397
0.832 0.603 0.389
0.000 0.000 0.000
0.045 0.884 0.704
0.116 0.296 0.955
0.173 0.599 0.383
0.296 0.955 0.116
0.383 0.173 0.599
0.401 0.617 0.827
0.599 0.383 0.173
0.617 0.827 0.401
0.704 0.045 0.884
0.827 0.401 0.617
0.884 0.704 0.045
0.955 0.116 0.296
```

=====

## TbSmCo2 (PBE-GGA)

Data for TbSmCo2 after structural relaxation.

total magnetic moment: 0.21 μB/f.u.
DFT formation energy: 225 meV/atom
energy above the lowest structure with this stoichiometry: 371 meV per atom
D(E_F): 6.38 states/eV/f.u.

The structure in POSCAR format:
```
TbSmCo2
1.0
1.911 1.103 6.628
-1.911 1.103 6.628
0.000 -2.207 6.628
Tb Sm Co
1 1 2
direct
0.000 0.000 0.000
0.500 0.500 0.500
0.252 0.252 0.252
0.748 0.748 0.748
```

=====

## La2Sb4Ir3 (PBE-GGA)

Data for La2Sb4Ir3 after structural relaxation.

total magnetic moment: 0.00 μB/f.u.
formation energy (no corrections): -765.7 meV per atom
D(E_F): 5.15 states/eV/f.u.

The structure in POSCAR format:
```
La2Sb4Ir3
1.0
16.414 0.000 0.000
0.000 4.638 0.000
0.000 0.000 11.091
La Sb Ir
8 16 12
direct
0.006 0.250 0.248
0.249 0.750 0.588
0.251 0.250 0.088
0.494 0.750 0.748
0.506 0.250 0.252
0.749 0.750 0.912
0.751 0.250 0.412
0.994 0.750 0.752
0.068 0.750 0.449
0.105 0.750 0.061
0.152 0.250 0.775
0.208 0.250 0.385
0.292 0.750 0.885
0.348 0.750 0.275
0.395 0.250 0.561
0.432 0.250 0.949
0.568 0.750 0.051
0.605 0.750 0.439
0.652 0.250 0.725
0.708 0.250 0.115
0.792 0.750 0.615
0.848 0.750 0.225
0.895 0.250 0.939
0.932 0.250 0.551
0.056 0.250 0.966
0.092 0.250 0.557
0.180 0.750 0.276
0.320 0.250 0.776
0.408 0.750 0.057
0.444 0.750 0.466
0.556 0.250 0.534
0.592 0.250 0.943
0.680 0.750 0.224
0.820 0.250 0.724
0.908 0.750 0.443
0.944 0.750 0.034
```

=====

## MgZr2Se (PBE-GGA)

Data for MgZr2Se after structural relaxation.

total magnetic moment: 0.00 μB/f.u.
formation energy (no corrections): -433.0 meV per atom
energy above the lowest structure with this stoichiometry: 41 meV per atom
D(E_F): 3.68 states/eV/f.u.

The structure in POSCAR format:
```
MgZr2Se
1.0
3.253 0.000 0.000
0.000 3.253 0.000
0.000 0.000 8.036
Mg Zr Se
1 2 1
direct
0.000 0.000 0.000
0.500 0.500 0.287
0.500 0.500 0.713
0.000 0.000 0.500
```

=====

## La2ErPb9 (PBE-GGA)

Data for La2ErPb9 after structural relaxation.

total magnetic moment: 0.00 μB/f.u.
DFT formation energy: -380 meV/atom
D(E_F): 6.46 states/eV/f.u.

The structure in POSCAR format:
```
La2ErPb9
1.0
4.945 0.000 0.000
0.000 4.945 0.000
0.000 0.000 14.718
La Er Pb
2 1 9
direct
0.000 0.000 0.168
0.000 0.000 0.832
0.000 0.000 0.500
0.000 0.500 0.000
0.000 0.500 0.339
0.000 0.500 0.661
0.500 0.000 0.000
0.500 0.000 0.339
0.500 0.000 0.661
0.500 0.500 0.169
0.500 0.500 0.500
0.500 0.500 0.831
```

=====

## KYAl (PBE-GGA)

Data for KYAl after structural relaxation.

total magnetic moment: 0.00 μB/f.u.
DFT formation energy: -113 meV/atom
energy above the lowest structure with this stoichiometry: 0 meV per atom
D(E_F): 2.37 states/eV/f.u.

The structure in POSCAR format:
```
KYAl
1.0
4.385 0.000 0.000
0.000 4.192 0.000
-2.135 0.000 12.840
K Y Al
2 2 2
direct
0.174 0.250 0.355
0.826 0.750 0.645
0.445 0.250 0.888
0.555 0.750 0.112
0.031 0.250 0.064
0.969 0.750 0.936
```